(1)
Here is ScSiMo after structural relaxation from Alexandria via LeMat-Bulk. Energies are from PBE-GGA.

Calculated values
Formation energy from raw total energies = -0.16 eV/atom
Magnetization = 0.0 μB per formula unit

Unit cell a=6.0545 b=6.0545 c=6.0545 alpha=90.00 beta=90.00 gamma=90.00
Space group F-43m (No. 216)
Symmetry-distinct sites (fractional):
Sc 0.0000 0.0000 0.0000 [4 per cell]
Si 0.2500 0.2500 0.2500 [4 per cell]
Mo 0.0000 0.0000 0.5000 [4 per cell]



(2)
Here is B2C after structural relaxation from Alexandria via LeMat-Bulk. Energies are from PBE-GGA.

Calculated values
Formation energy from the elements = 0.401 eV/atom
Magnetization = 0.0 μB per formula unit
Distance to the lowest polymorph of the same formula = 62 kJ/mol of formula units

Unit cell a=12.7067 b=2.6966 c=5.2383 alpha=90.00 beta=100.35 gamma=90.00
Space group Cm (No. 8)
Symmetry-distinct sites (fractional):
B 0.0000 0.0000 0.0000 [2 per cell]
B 0.0083 0.0000 0.6219 [2 per cell]
B 0.1172 0.0000 0.8748 [2 per cell]
B 0.1542 0.0000 0.2061 [2 per cell]
B 0.1823 0.5000 0.7489 [2 per cell]
B 0.1912 0.5000 0.4011 [2 per cell]
B 0.3127 0.5000 0.3091 [2 per cell]
B 0.3644 0.0000 0.7361 [2 per cell]
C 0.2906 0.5000 0.6489 [2 per cell]
C 0.3779 0.0000 0.2603 [2 per cell]
C 0.4366 0.0000 0.0347 [2 per cell]
C 0.4548 0.0000 0.5226 [2 per cell]



Q: Which value of magnetization does entry 1 give?
A: 0.0 μB per formula unit